# 1
# PBE HIrRh3, relaxed
data_HIrRh3
_chemical_formula_sum 'H1 Ir1 Rh3'
_space_group_name_H-M_alt 'P 1'
_space_group_IT_number 1
_space_group_name_Hall 'P 1'
_cell_length_a 4.7411
_cell_length_b 4.7411
_cell_length_c 4.7411
_cell_angle_alpha 90.00
_cell_angle_beta 90.00
_cell_angle_gamma 90.00
loop_
_atom_site_label
_atom_site_fract_x
_atom_site_fract_y
_atom_site_fract_z
H1 0.0000 0.0000 0.0000
Ir1 0.5000 0.5000 0.5000
Rh1 0.0000 0.5000 0.5000
Rh2 0.5000 0.0000 0.5000
Rh3 0.5000 0.5000 0.0000
# Energy relative to the lowest polymorph listed for this composition ... 1795 meV/atom
# Space group ... No. 221

# 2
# PBE La2TcCl, relaxed
data_La2TcCl
_chemical_formula_sum 'La2 Tc1 Cl1'
_space_group_name_H-M_alt 'P 1'
_space_group_IT_number 1
_space_group_name_Hall 'P 1'
_cell_length_a 3.5764
_cell_length_b 3.5764
_cell_length_c 8.2571
_cell_angle_alpha 90.00
_cell_angle_beta 90.00
_cell_angle_gamma 103.02
loop_
_atom_site_label
_atom_site_fract_x
_atom_site_fract_y
_atom_site_fract_z
La1 0.0000 0.0000 0.2140
La2 0.0000 0.0000 0.7860
Tc1 0.5000 0.5000 0.0000
Cl1 0.5000 0.5000 0.5000
# Energy relative to the lowest polymorph listed for this composition ... 16 meV/atom
# ΔE_f (raw) ... -0.759 eV per atom
# Space group ... No. 65

# 3
# PBE ReAg2Cl7, relaxed
data_ReAg2Cl7
_chemical_formula_sum 'Re2 Ag4 Cl14'
_space_group_name_H-M_alt 'P 1'
_space_group_IT_number 1
_space_group_name_Hall 'P 1'
_cell_length_a 7.8563
_cell_length_b 7.8563
_cell_length_c 11.2425
_cell_angle_alpha 110.22
_cell_angle_beta 110.22
_cell_angle_gamma 81.86
loop_
_atom_site_label
_atom_site_fract_x
_atom_site_fract_y
_atom_site_fract_z
Re1 0.2388 0.7612 0.7500
Re2 0.7612 0.2388 0.2500
Ag1 0.0862 0.7552 0.3826
Ag2 0.2448 0.9138 0.1174
Ag3 0.7552 0.0862 0.8826
Ag4 0.9138 0.2448 0.6174
Cl1 0.0195 0.1555 0.4176
Cl2 0.0357 0.5935 0.7719
Cl3 0.1555 0.0195 0.9176
Cl4 0.2837 0.7163 0.2500
Cl5 0.3109 0.5272 0.5861
Cl6 0.4065 0.9643 0.7281
Cl7 0.4728 0.6891 0.9139
Cl8 0.5272 0.3109 0.0861
Cl9 0.5935 0.0357 0.2719
Cl10 0.6891 0.4728 0.4139
Cl11 0.7163 0.2837 0.7500
Cl12 0.8445 0.9805 0.0824
Cl13 0.9643 0.4065 0.2281
Cl14 0.9805 0.8445 0.5824
# ΔE_f (raw) ... -0.501 eV per atom
# Space group ... No. 15

| no. | N(E_F) (states/eV/cell) |
| --- | --- |
| 1 | 5.4 |
| 2 | 1.2 |
| 3 | 11.1 |